Computed, not measured: a PBEsol-optimized structure of KTeW2 at the SCAN level of DFT.

Summary:
* total DFT energy (no corrections): -3.3572 Ry per atom
* energy relative to the elements, uncorrected: 217 kJ/mol of formula units
* DOS(E_F): 4.03 states/eV per cell
* total magnetic moment: 0.0 μB/cell

a = 3.2327 Å, b = 3.2732 Å, c = 18.0173 Å
α = 90.00°, β = 90.00°, γ = 90.00°
With the nearest neighbours (Å) after each atom.
Space group Amm2 (No. 38)
Unique sites:
1 K 0.0000 0.0000 0.0000 x2  4 K 3.23-3.27, 4 Te 3.54
2 Te 0.5000 0.0000 0.6492 x2  2 W 2.80
3 W 0.0000 0.0000 0.7762 x2  4 W 2.59, 2 Te 2.80
4 W 0.5000 0.0000 0.3426 x2  4 W 2.59